No. 1
Here is a relaxed Pm3Au crystal from Alexandria via LeMat-Bulk. Energies are from PBE.

Unit cell a=6.163 b=6.163 c=6.163 alpha=135.70 beta=135.70 gamma=64.44
Fractional coordinates of all 4 atoms:
Pm 0.000 0.000 0.000
Pm 0.250 0.750 0.500
Pm 0.750 0.250 0.500
Au 0.500 0.500 0.000

formation energy: -0.216 eV per atom
total magnetization: 0.000 μB/f.u.
excess energy over the best structure of this formula in the dataset: 0.190 eV/atom


No. 2
Here is a relaxed CuAg2WI crystal from Alexandria via LeMat-Bulk. Energies are from PBE.

Unit cell a=5.298 b=5.298 c=5.040 alpha=90.00 beta=90.00 gamma=90.00
Fractional coordinates of all 5 atoms:
Cu 0.000 0.000 0.000
Ag 0.000 0.500 0.500
Ag 0.500 0.000 0.500
W 0.500 0.500 0.500
I 0.500 0.500 0.000

total magnetization: 0.000 μB/f.u.
formation energy without anion corrections: 1569.6 meV/atom


No. 3
Here is a relaxed Cs2TlI4 crystal from Alexandria via LeMat-Bulk. Energies are from PBE.

Unit cell a=11.280 b=8.864 c=15.943 alpha=90.00 beta=90.00 gamma=90.00
Fractional coordinates of all 28 atoms:
Cs 0.015 0.250 0.163
Cs 0.105 0.750 0.435
Cs 0.395 0.250 0.935
Cs 0.485 0.750 0.663
Cs 0.515 0.250 0.337
Cs 0.605 0.750 0.065
Cs 0.895 0.250 0.565
Cs 0.985 0.750 0.837
Tl 0.221 0.750 0.087
Tl 0.279 0.250 0.587
Tl 0.721 0.750 0.413
Tl 0.779 0.250 0.913
I 0.051 0.250 0.914
I 0.168 0.542 0.652
I 0.168 0.958 0.652
I 0.180 0.250 0.407
I 0.320 0.750 0.907
I 0.332 0.042 0.152
I 0.332 0.458 0.152
I 0.449 0.750 0.414
I 0.551 0.250 0.586
I 0.668 0.542 0.848
I 0.668 0.958 0.848
I 0.680 0.250 0.093
I 0.820 0.750 0.593
I 0.832 0.042 0.348
I 0.832 0.458 0.348
I 0.949 0.750 0.086

total magnetization: 0.001 μB/f.u.
formation energy without anion corrections: -1017.2 meV/atom
excess energy over the best structure of this formula in the dataset: 0.026 eV/atom


No. 4
Here is a relaxed Ac6SiP2S3 crystal from Alexandria via LeMat-Bulk. Energies are from PBE.

Unit cell a=9.865 b=9.865 c=8.798 alpha=102.54 beta=102.54 gamma=25.96
Fractional coordinates of all 12 atoms:
Ac 0.001 0.001 0.248
Ac 0.332 0.332 0.421
Ac 0.334 0.334 0.913
Ac 0.666 0.666 0.087
Ac 0.668 0.668 0.579
Ac 0.999 0.999 0.752
Si 0.500 0.500 0.000
P 0.168 0.168 0.336
P 0.832 0.832 0.664
S 0.167 0.167 0.831
S 0.500 0.500 0.500
S 0.833 0.833 0.169

total magnetization: 0.000 μB/f.u.
formation energy without anion corrections: -1636.3 meV/atom